(1)
Here is NbCrCo2 after structural relaxation from Alexandria via LeMat-Bulk. Energies are from PBE.

The structure in extended XYZ format:
```
4
Lattice="2.654 0.000 0.000 0.000 2.654 0.000 0.000 0.000 7.132" Properties=species:S:1:pos:R:3 pbc="T T T"
Nb 0.000 0.000 0.000
Cr 0.000 0.000 3.566
Co 1.327 1.327 1.984
Co 1.327 1.327 5.148
```

Formation energy (eV per atom): 0.038
Excess energy over the best structure of this formula in the dataset (eV per formula unit): 0.08



(2)
Here is SmHfOs4 after structural relaxation from Alexandria via LeMat-Bulk. Energies are from PBE.

The structure in extended XYZ format:
```
6
Lattice="0.000 3.760 3.760 3.760 0.000 3.760 3.760 3.760 0.000" Properties=species:S:1:pos:R:3 pbc="T T T"
Sm 0.000 0.000 0.000
Hf 1.880 1.880 1.880
Os 4.697 2.823 2.823
Os 2.823 4.697 2.823
Os 2.823 2.823 4.697
Os 4.697 4.697 4.697
```

Formation energy (eV per atom): -0.198



(3)
Here is NbGaI4 after structural relaxation from Alexandria via LeMat-Bulk. Energies are from PBE.

The structure in extended XYZ format:
```
12
Lattice="7.359 -4.480 0.000 7.359 4.480 0.000 -0.079 0.000 7.492" Properties=species:S:1:pos:R:3 pbc="T T T"
Nb 7.300 3.412 5.619
Nb 7.339 -3.412 1.873
Ga 7.339 1.022 1.873
Ga 7.300 -1.022 5.619
I 5.754 3.504 3.184
I 8.925 3.504 0.562
I 5.612 1.394 6.666
I 8.987 1.394 4.572
I 5.652 -1.394 2.920
I 9.027 -1.394 0.826
I 5.714 -3.504 6.930
I 8.885 -3.504 4.308
```



(4)
Here is AcLa6Y4 after structural relaxation from Alexandria via LeMat-Bulk. Energies are from PBE.

The structure in extended XYZ format:
```
22
Lattice="3.019 -5.013 0.000 3.019 5.013 0.000 0.000 0.000 26.506" Properties=species:S:1:pos:R:3 pbc="T T T"
Ac 3.019 2.975 19.879
Ac 3.019 -2.975 6.626
La 3.019 3.671 4.776
La 3.019 3.671 8.477
La 3.019 3.119 15.762
La 3.019 3.119 23.997
La 3.019 0.474 6.626
La 3.019 0.000 0.000
La 3.019 0.000 13.253
La 3.019 -0.474 19.879
La 3.019 -3.119 2.509
La 3.019 -3.119 10.744
La 3.019 -3.671 18.029
La 3.019 -3.671 21.730
Y 3.019 3.456 1.204
Y 3.019 3.456 12.049
Y 3.019 0.291 3.318
Y 3.019 0.291 9.935
Y 3.019 -0.291 16.571
Y 3.019 -0.291 23.188
Y 3.019 -3.456 14.457
Y 3.019 -3.456 25.302
```

Formation energy (eV per atom): 0.104



(5)
Here is Pr2TmZn12Cu3 after structural relaxation from Alexandria via LeMat-Bulk. Energies are from PBE.

The structure in extended XYZ format:
```
18
Lattice="3.249 1.876 9.454 -3.249 1.876 9.454 0.000 -3.752 9.454" Properties=species:S:1:pos:R:3 pbc="T T T"
Pr 0.000 0.000 4.050
Pr 0.000 0.000 24.312
Tm 0.000 0.000 14.181
Zn -1.907 -1.101 12.121
Zn 0.000 -2.258 10.739
Zn -1.955 1.129 10.739
Zn -1.955 -1.129 17.623
Zn 0.000 -2.202 16.241
Zn -1.907 1.101 16.241
Zn 1.907 -1.101 12.121
Zn 0.000 2.202 12.121
Zn 1.955 1.129 10.739
Zn 1.955 -1.129 17.623
Zn 0.000 2.258 17.623
Zn 1.907 1.101 16.241
Cu -1.625 -0.938 9.454
Cu -1.625 0.938 18.908
Cu 0.000 1.876 9.454
```

Formation energy (eV per atom): -0.015



(6)
Here is K2SrSc after structural relaxation from Alexandria via LeMat-Bulk. Energies are from PBE.

The structure in extended XYZ format:
```
4
Lattice="-2.044 3.578 6.902 2.044 -3.578 6.902 2.044 3.578 -6.902" Properties=species:S:1:pos:R:3 pbc="T T T"
K 0.000 0.000 0.000
K 0.000 3.578 3.250
Sr 0.000 0.000 6.310
Sc 2.044 0.000 3.343
```

Formation energy (eV per atom): 0.522
Excess energy over the best structure of this formula in the dataset (eV per formula unit): 0.67



no.,E_tot (eV per atom),DOS at the Fermi energy (states/eV/atom)
1,-8.4383,1.199
2,-10.1300,0.873
3,-3.5990,0.651
4,-5.3077,1.803
5,-2.3263,0.509
6,-2.0305,1.614